A plane-wave DFT calculation with PBE was carried out for a geometry-optimized KSmSO structure.

The uncorrected energy is -95.605 eV/cell. The crystal system is monoclinic.

The structure belongs to space group P2_1 (No. 4); the cell edges are 5.8015, 5.7972 and 11.2815 Å and the angles 90.00°, 104.53° and 90.00°. The inequivalent atoms are K at (0.0465, 0.0000, 0.1004), K at (0.4536, 0.9996, 0.8986), Sm at (0.0505, 0.2617, 0.6014), Sm at (0.4495, 0.2614, 0.3987), S at (0.0948, 0.4985, 0.2050), S at (0.4052, 0.4989, 0.7950), O at (0.2498, 0.0126, 0.5000) and O at (0.2500, 0.5131, 0.4999).



A plane-wave DFT calculation with PBE was carried out for a geometry-optimized Ta8Al5 structure.

The uncorrected energy is -332.769 eV/cell. The crystal system is trigonal.

The structure belongs to space group R-3m (No. 166, hexagonal axes); the cell edges are 5.5121, 5.5121 and 27.8616 Å and the angles 90.00°, 90.00° and 120.00°. The inequivalent atoms are Ta at (0.0000, 0.0000, 0.0499), Ta at (0.0046, 0.5023, 0.9117), Al at (0.0000, 0.0000, 0.1494), Al at (0.0000, 0.0000, 0.3334) and Al at (0.0000, 0.0000, 0.5000).



A plane-wave DFT calculation with PBE was carried out for a geometry-optimized RbErCdSe3 structure.

The uncorrected energy is -49.743 eV/cell. The crystal system is monoclinic.

The structure belongs to space group P2_1/m (No. 11); the cell edges are 8.8677, 4.2477 and 10.6832 Å and the angles 90.00°, 110.11° and 90.00°. The inequivalent atoms are Rb at (0.2464, 0.2500, 0.2646), Er at (0.3222, 0.7500, 0.8691), Cd at (0.0825, 0.2500, 0.6134), Se at (0.0973, 0.2500, 0.8617), Se at (0.2373, 0.7500, 0.5599) and Se at (0.4673, 0.7500, 0.1438).



A plane-wave DFT calculation with PBE was carried out for a geometry-optimized AcHoIr structure.

The uncorrected energy is -64.420 eV/cell. The formation energy comes out at 1.43 eV/f.u. The crystal system is cubic.

The structure belongs to space group F-43m (No. 216); the cell edges are 6.9702, 6.9702 and 6.9702 Å and the angles 90.00°, 90.00° and 90.00°. The inequivalent atoms are Ac at (0.0000, 0.0000, 0.0000), Ho at (0.2500, 0.2500, 0.7500) and Ir at (0.2500, 0.2500, 0.2500).